{"formula": "KCeNdI6", "functional": "PBE", "state": "optimized geometry", "crystal_system": "trigonal", "formation_energy_uncorrected_ev_per_atom": -1.3506, "mass_density_g_cm3": 4.0, "cell": [[7.978, 0.000, 0.000], [-3.989, 6.909, 0.000], [0.000, 0.000, 16.334]], "species": ["K", "K", "Ce", "Ce", "Nd", "Nd", "I", "I", "I", "I", "I", "I", "I", "I", "I", "I", "I", "I"], "fractional_positions": [[0.000, 0.000, 0.000], [0.000, 0.000, 0.500], [0.333, 0.667, 0.250], [0.667, 0.333, 0.750], [0.333, 0.667, 0.750], [0.667, 0.333, 0.250], [0.004, 0.358, 0.635], [0.004, 0.647, 0.865], [0.353, 0.358, 0.865], [0.353, 0.996, 0.635], [0.358, 0.004, 0.135], [0.358, 0.353, 0.365], [0.642, 0.647, 0.635], [0.642, 0.996, 0.865], [0.647, 0.004, 0.365], [0.647, 0.642, 0.135], [0.996, 0.353, 0.135], [0.996, 0.642, 0.365]]}